## CsAu (PBE)

Data for a geometry-optimized CsAu structure.

a b c (Å): 9.224 8.408 7.235
angles (deg): 71.82 60.01 48.18
Sites, in units of the cell vectors:
1 Cs 0.089 0.661 0.089
2 Cs 0.339 0.911 0.339
3 Cs 0.661 0.089 0.661
4 Cs 0.911 0.339 0.911
5 Au 0.203 0.547 0.547
6 Au 0.453 0.797 0.797
7 Au 0.547 0.203 0.203
8 Au 0.797 0.453 0.453

**Theoretical density**: 6.05 Mg/m³
**Formation energy**: -0.2933 eV/atom
**E above lowest polymorph**: 0.082 eV per formula unit